1.
Y3Mg5 | SCAN | PBEsol geometry

POSCAR file:
```
Y3Mg5
1.0
3.810 -5.221 0.000
3.810 5.221 0.000
0.000 0.000 5.147
Y Mg
3 5
direct
0.000 0.000 0.000
0.259 0.741 0.500
0.741 0.259 0.500
0.000 0.500 0.000
0.252 0.252 0.500
0.500 0.000 0.000
0.500 0.500 0.000
0.748 0.748 0.500
```

Total energy: -109.12 eV/cell
ρ: 3.15 Mg/m³
E_form: -0.09 eV/atom

2.
Y3Mg | SCAN | PBEsol geometry

POSCAR file:
```
Y3Mg
1.0
3.587 0.000 0.000
0.000 3.587 0.000
0.000 0.000 8.952
Y Mg
3 1
direct
0.000 0.000 0.000
0.500 0.500 0.268
0.500 0.500 0.732
0.000 0.000 0.500
```

Total energy: -88.61 eV/cell
ρ: 4.20 Mg/m³
E_form: -0.03 eV/atom

3.
Y3Mg | SCAN | PBEsol geometry

POSCAR file:
```
Y3Mg
1.0
5.480 0.000 0.000
0.000 6.969 0.000
0.000 0.000 6.012
Y Mg
6 2
direct
0.250 0.005 0.168
0.250 0.250 0.649
0.250 0.495 0.168
0.750 0.505 0.832
0.750 0.750 0.351
0.750 0.995 0.832
0.250 0.750 0.671
0.750 0.250 0.329
```

Total energy: -177.01 eV/cell
ρ: 4.21 Mg/m³
E_form: 0.00 eV/atom

4.
Y7Mg | SCAN | PBEsol geometry

POSCAR file:
```
Y7Mg
1.0
0.000 4.915 4.915
4.915 0.000 4.915
4.915 4.915 0.000
Y Mg
7 1
direct
0.000 0.000 0.000
0.000 0.000 0.500
0.000 0.500 0.000
0.000 0.500 0.500
0.500 0.000 0.000
0.500 0.000 0.500
0.500 0.500 0.000
0.500 0.500 0.500
```

Total energy: -199.46 eV/cell
ρ: 4.52 Mg/m³
E_form: 0.05 eV/atom

5.
Y3Mg | SCAN | PBEsol geometry

POSCAR file:
```
Y3Mg
1.0
3.494 0.000 0.000
-1.747 3.026 0.000
0.000 0.000 11.148
Y Mg
3 1
direct
0.000 0.000 0.000
0.333 0.667 0.253
0.333 0.667 0.747
0.000 0.000 0.500
```

Total energy: -88.28 eV/cell
ρ: 4.10 Mg/m³
E_form: 0.05 eV/atom

6.
Y4Mg3 | SCAN | PBEsol geometry

POSCAR file:
```
Y4Mg3
1.0
-1.720 1.720 16.213
1.720 -1.720 16.213
1.720 1.720 -16.213
Y Mg
4 3
direct
0.070 0.070 0.000
0.353 0.353 0.000
0.647 0.647 0.000
0.930 0.930 0.000
0.220 0.220 0.000
0.500 0.500 0.000
0.780 0.780 0.000
```

Total energy: -126.68 eV/cell
ρ: 3.71 Mg/m³
E_form: -0.06 eV/atom

7.
Y3Mg | SCAN | PBEsol geometry

POSCAR file:
```
Y3Mg
1.0
-3.493 4.769 3.457
3.493 -4.769 3.457
3.493 4.769 -3.457
Y Mg
6 2
direct
0.224 0.000 0.724
0.224 0.500 0.224
0.302 0.052 0.250
0.698 0.948 0.750
0.776 0.000 0.276
0.776 0.500 0.776
0.252 0.502 0.750
0.748 0.498 0.250
```

Total energy: -176.92 eV/cell
ρ: 4.20 Mg/m³
E_form: 0.01 eV/atom

8.
Y3Mg | SCAN | PBEsol geometry

POSCAR file:
```
Y3Mg
1.0
1.743 1.006 11.099
-1.743 1.006 11.099
0.000 -2.012 11.099
Y Mg
3 1
direct
0.000 0.000 0.000
0.247 0.247 0.247
0.753 0.753 0.753
0.500 0.500 0.500
```

Total energy: -88.36 eV/cell
ρ: 4.14 Mg/m³
E_form: 0.03 eV/atom

9.
Y3Mg | SCAN | PBEsol geometry

POSCAR file:
```
Y3Mg
1.0
-1.892 2.690 5.663
1.892 -2.690 5.663
1.892 2.690 -5.663
Y Mg
3 1
direct
0.000 0.000 0.000
0.273 0.773 0.500
0.727 0.227 0.500
0.500 0.500 0.000
```

Total energy: -88.66 eV/cell
ρ: 4.19 Mg/m³
E_form: -0.04 eV/atom

10.
Y3Mg | SCAN | PBEsol geometry

POSCAR file:
```
Y3Mg
1.0
-2.443 2.443 4.784
2.443 -2.443 4.784
2.443 2.443 -4.784
Y Mg
3 1
direct
0.000 0.000 0.000
0.250 0.750 0.500
0.750 0.250 0.500
0.500 0.500 0.000
```

Total energy: -88.39 eV/cell
ρ: 4.23 Mg/m³
E_form: 0.03 eV/atom

11.
Y4Mg25 | SCAN | PBEsol geometry

POSCAR file:
```
Y4Mg25
1.0
7.853 4.534 3.235
-7.853 4.534 3.235
0.000 -9.068 3.235
Y Mg
4 25
direct
0.000 0.000 0.000
0.000 0.000 0.628
0.000 0.628 0.000
0.628 0.000 0.000
0.184 0.808 0.808
0.187 0.369 0.998
0.187 0.998 0.369
0.292 0.605 0.605
0.321 0.321 0.712
0.321 0.712 0.321
0.358 0.358 0.358
0.369 0.187 0.998
0.369 0.998 0.187
0.392 0.673 0.999
0.392 0.999 0.673
0.605 0.292 0.605
0.605 0.605 0.292
0.631 0.631 0.823
0.631 0.823 0.631
0.673 0.392 0.999
0.673 0.999 0.392
0.712 0.321 0.321
0.808 0.184 0.808
0.808 0.808 0.184
0.823 0.631 0.631
0.998 0.187 0.369
0.998 0.369 0.187
0.999 0.392 0.673
0.999 0.673 0.392
```

Total energy: -237.40 eV/cell
ρ: 2.31 Mg/m³
E_form: -0.06 eV/atom

12.
YMg8 | SCAN | PBEsol geometry

POSCAR file:
```
YMg8
1.0
-4.737 4.737 2.349
4.737 -4.737 2.349
4.737 4.737 -2.349
Y Mg
1 8
direct
0.000 0.000 0.000
0.000 0.338 0.338
0.000 0.662 0.662
0.329 0.329 0.659
0.329 0.671 0.000
0.338 0.000 0.338
0.662 0.000 0.662
0.671 0.329 0.000
0.671 0.671 0.341
```

Total energy: -67.89 eV/cell
ρ: 2.23 Mg/m³
E_form: -0.03 eV/atom

13.
Y3Mg | SCAN | PBEsol geometry

POSCAR file:
```
Y3Mg
1.0
4.860 0.000 0.000
0.000 4.860 0.000
0.000 0.000 4.860
Y Mg
3 1
direct
0.000 0.000 0.500
0.000 0.500 0.000
0.500 0.000 0.000
0.500 0.500 0.500
```

Total energy: -88.46 eV/cell
ρ: 4.21 Mg/m³
E_form: 0.01 eV/atom

14.
Y3Mg | SCAN | PBEsol geometry

POSCAR file:
```
Y3Mg
1.0
3.508 -4.571 0.000
3.508 4.571 0.000
0.000 0.000 3.609
Y Mg
3 1
direct
0.000 0.000 0.000
0.000 0.500 0.500
0.500 0.000 0.500
0.500 0.500 0.000
```

Total energy: -88.36 eV/cell
ρ: 4.17 Mg/m³
E_form: 0.03 eV/atom

15.
YMgZn | SCAN | PBEsol geometry

POSCAR file:
```
YMgZn
1.0
4.759 0.000 0.000
-2.379 4.121 0.000
0.000 0.000 3.377
Y Mg Zn
1 1 1
direct
0.000 0.000 0.000
0.667 0.333 0.500
0.333 0.667 0.500
```

Total energy: -47.04 eV/cell
ρ: 4.48 Mg/m³
E_form: -0.23 eV/atom

16.
YMgZn | SCAN | PBEsol geometry

POSCAR file:
```
YMgZn
1.0
7.439 0.000 0.000
-3.719 6.442 0.000
0.000 0.000 4.129
Y Mg Zn
3 3 3
direct
0.000 0.588 0.000
0.412 0.412 0.000
0.588 0.000 0.000
0.000 0.247 0.500
0.247 0.000 0.500
0.753 0.753 0.500
0.000 0.000 0.000
0.333 0.667 0.500
0.667 0.333 0.500
```

Total energy: -142.35 eV/cell
ρ: 4.50 Mg/m³
E_form: -0.37 eV/atom

17.
YMg2Zn2 | SCAN | PBEsol geometry

POSCAR file:
```
YMg2Zn2
1.0
-2.074 2.074 5.966
2.074 -2.074 5.966
2.074 2.074 -5.966
Y Mg Zn
1 2 2
direct
0.000 0.000 0.000
0.250 0.750 0.500
0.750 0.250 0.500
0.400 0.400 0.000
0.600 0.600 0.000
```

Total energy: -66.34 eV/cell
ρ: 4.34 Mg/m³
E_form: -0.30 eV/atom

18.
YMg4Zn | SCAN | PBEsol geometry

POSCAR file:
```
YMg4Zn
1.0
0.000 4.117 4.117
4.117 0.000 4.117
4.117 4.117 0.000
Y Mg Zn
1 4 1
direct
0.000 0.000 0.000
0.124 0.625 0.625
0.625 0.124 0.625
0.625 0.625 0.124
0.625 0.625 0.625
0.250 0.250 0.250
```

Total energy: -60.61 eV/cell
ρ: 2.99 Mg/m³
E_form: 0.11 eV/atom

19.
YMg2Zr | SCAN | PBEsol geometry

POSCAR file:
```
YMg2Zr
1.0
3.299 0.000 0.000
0.000 3.299 0.000
0.000 0.000 8.931
Y Mg Zr
1 2 1
direct
0.000 0.000 0.000
0.000 0.000 0.494
0.500 0.500 0.724
0.500 0.500 0.254
```

Total energy: -68.56 eV/cell
ρ: 3.91 Mg/m³
E_form: -0.02 eV/atom

20.
YMg2Zr | SCAN | PBEsol geometry

POSCAR file:
```
YMg2Zr
1.0
-1.710 2.655 5.231
1.710 -2.655 5.231
1.710 2.655 -5.231
Y Mg Zr
1 2 1
direct
0.000 0.000 0.000
0.508 0.508 0.000
0.736 0.236 0.500
0.259 0.759 0.500
```

Total energy: -68.23 eV/cell
ρ: 4.00 Mg/m³
E_form: 0.06 eV/atom

21.
YMg2Zr | SCAN | PBEsol geometry

POSCAR file:
```
YMg2Zr
1.0
3.062 -5.474 0.000
3.062 5.474 0.000
-1.101 0.000 2.847
Y Mg Zr
1 2 1
direct
0.000 0.000 0.000
0.000 0.500 0.500
0.500 0.000 0.500
0.500 0.500 0.000
```

Total energy: -67.96 eV/cell
ρ: 3.98 Mg/m³
E_form: 0.13 eV/atom

22.
Y2MgZr | SCAN | PBEsol geometry

POSCAR file:
```
Y2MgZr
1.0
-2.322 2.322 4.777
2.322 -2.322 4.777
2.322 2.322 -4.777
Y Mg Zr
2 1 1
direct
0.000 0.000 0.000
0.750 0.250 0.500
0.250 0.750 0.500
0.500 0.500 0.000
```

Total energy: -90.82 eV/cell
ρ: 4.73 Mg/m³
E_form: 0.13 eV/atom

23.
Y2MgZr | SCAN | PBEsol geometry

POSCAR file:
```
Y2MgZr
1.0
3.398 0.000 0.000
0.000 3.398 0.000
0.000 0.000 9.152
Y Mg Zr
2 1 1
direct
0.000 0.000 0.244
0.000 0.000 0.756
0.500 0.500 0.500
0.500 0.500 0.000
```

Total energy: -91.36 eV/cell
ρ: 4.61 Mg/m³
E_form: 0.00 eV/atom

24.
Mg3Zn | SCAN | PBEsol geometry

POSCAR file:
```
Mg3Zn
1.0
5.410 0.000 0.000
0.000 5.410 0.000
0.000 0.000 5.410
Mg Zn
6 2
direct
0.000 0.250 0.500
0.000 0.750 0.500
0.250 0.500 0.000
0.500 0.000 0.250
0.500 0.000 0.750
0.750 0.500 0.000
0.000 0.000 0.000
0.500 0.500 0.500
```

Total energy: -57.06 eV/cell
ρ: 2.90 Mg/m³
E_form: -0.02 eV/atom

25.
MgZn2 | SCAN | PBEsol geometry

POSCAR file:
```
MgZn2
1.0
-2.004 2.004 12.083
2.004 -2.004 12.083
2.004 2.004 -12.083
Mg Zn
4 8
direct
0.295 0.545 0.750
0.455 0.705 0.750
0.545 0.295 0.250
0.705 0.455 0.250
0.044 0.794 0.250
0.126 0.376 0.750
0.206 0.956 0.250
0.376 0.126 0.250
0.624 0.874 0.750
0.794 0.044 0.750
0.874 0.624 0.250
0.956 0.206 0.750
```

Total energy: -128.96 eV/cell
ρ: 5.31 Mg/m³
E_form: -0.08 eV/atom